(1)
Entry from the Alexandria database: an optimized crystal structure of LiDy2Rh2 (PBE).

CIF file:
```
data_LiDy2Rh2
_cell_length_a 4.064
_cell_length_b 5.958
_cell_length_c 8.169
_cell_angle_alpha 90.00
_cell_angle_beta 90.00
_cell_angle_gamma 90.00
_symmetry_space_group_name_H-M 'I m m m'
_symmetry_Int_Tables_number 71
_symmetry_space_group_name_Hall '-I 2 2'
loop_
_atom_site_label
_atom_site_fract_x
_atom_site_fract_y
_atom_site_fract_z
_atom_site_occupancy
Li1 0.000 0.000 0.000 1
Dy1 0.000 0.500 0.205 1
Rh1 0.000 0.232 0.500 1
```

Output
The density of states at the Fermi level is 5.69 states/eV per cell. As for the final energy: -5.8420 eV per atom. As for the formation energy: -0.68 eV/atom.

=====

(2)
Entry from the Alexandria database: an optimized crystal structure of LiDy3Rh4 (PBE).

CIF file:
```
data_LiDy3Rh4
_cell_length_a 4.719
_cell_length_b 4.719
_cell_length_c 6.648
_cell_angle_alpha 90.00
_cell_angle_beta 90.00
_cell_angle_gamma 90.00
_symmetry_space_group_name_H-M 'P 4/m m m'
_symmetry_Int_Tables_number 123
_symmetry_space_group_name_Hall '-P 4 2'
loop_
_atom_site_label
_atom_site_fract_x
_atom_site_fract_y
_atom_site_fract_z
_atom_site_occupancy
Li1 0.000 0.000 0.000 1
Dy1 0.000 0.000 0.500 1
Dy2 0.500 0.500 0.000 1
Dy3 0.500 0.500 0.500 1
Rh1 0.000 0.500 0.246 1
```

Output
The density of states at the Fermi level is 2.17 states/eV per cell. As for the final energy: -6.3385 eV per atom. As for the formation energy: -0.70 eV/atom.

=====

(3)
Entry from the Alexandria database: an optimized crystal structure of LiDy4Rh2 (PBE).

CIF file:
```
data_LiDy4Rh2
_cell_length_a 6.708
_cell_length_b 6.956
_cell_length_c 8.315
_cell_angle_alpha 110.52
_cell_angle_beta 108.09
_cell_angle_gamma 97.85
_symmetry_space_group_name_H-M 'P 1'
_symmetry_Int_Tables_number 1
loop_
_symmetry_equiv_pos_as_xyz
'x,y,z'
loop_
_atom_site_label
_atom_site_fract_x
_atom_site_fract_y
_atom_site_fract_z
_atom_site_occupancy
Li1 0.000 0.000 0.000 1
Li2 0.154 0.831 0.640 1
Dy1 0.059 0.564 0.834 1
Dy2 0.322 0.680 0.296 1
Dy3 0.379 0.213 0.360 1
Dy4 0.429 0.243 0.955 1
Dy5 0.539 0.618 0.786 1
Dy6 0.764 0.072 0.671 1
Dy7 0.820 0.769 0.264 1
Dy8 0.877 0.299 0.337 1
Rh1 0.167 0.198 0.598 1
Rh2 0.459 0.904 0.088 1
Rh3 0.713 0.624 0.525 1
Rh4 0.916 0.388 0.041 1
```

Output
The density of states at the Fermi level is 11.07 states/eV per cell. As for the final energy: -5.5127 eV per atom. As for the formation energy: -0.51 eV/atom.

=====

(4)
Entry from the Alexandria database: an optimized crystal structure of Li2Dy2Rh3 (PBE).

CIF file:
```
data_Li2Dy2Rh3
_cell_length_a 3.350
_cell_length_b 23.017
_cell_length_c 3.261
_cell_angle_alpha 90.00
_cell_angle_beta 90.00
_cell_angle_gamma 90.00
_symmetry_space_group_name_H-M 'C m m m'
_symmetry_Int_Tables_number 65
_symmetry_space_group_name_Hall '-C 2 2'
loop_
_atom_site_label
_atom_site_fract_x
_atom_site_fract_y
_atom_site_fract_z
_atom_site_occupancy
Li1 0.000 0.208 0.000 1
Dy1 0.000 0.079 0.000 1
Rh1 0.000 0.349 0.500 1
Rh2 0.000 0.500 0.500 1
```

Output
The density of states at the Fermi level is 4.79 states/eV per cell. As for the final energy: -5.5105 eV per atom. As for the formation energy: -0.50 eV/atom.

=====

(5)
Entry from the Alexandria database: an optimized crystal structure of LiDy6Rh5 (PBE).

CIF file:
```
data_LiDy6Rh5
_cell_length_a 4.839
_cell_length_b 6.941
_cell_length_c 14.634
_cell_angle_alpha 90.00
_cell_angle_beta 90.00
_cell_angle_gamma 90.00
_symmetry_space_group_name_H-M 'I m m m'
_symmetry_Int_Tables_number 71
_symmetry_space_group_name_Hall '-I 2 2'
loop_
_atom_site_label
_atom_site_fract_x
_atom_site_fract_y
_atom_site_fract_z
_atom_site_occupancy
Li1 0.000 0.000 0.000 1
Dy1 0.000 0.241 0.500 1
Dy2 0.000 0.254 0.170 1
Rh1 0.000 0.000 0.333 1
Rh2 0.000 0.500 0.000 1
Rh3 0.000 0.500 0.337 1
```

Output
The density of states at the Fermi level is 11.99 states/eV per cell. As for the final energy: -6.2772 eV per atom. As for the formation energy: -0.75 eV/atom.

=====

(6)
Entry from the Alexandria database: an optimized crystal structure of LiDy2Rh3 (PBE).

CIF file:
```
data_LiDy2Rh3
_cell_length_a 4.6527
_cell_length_b 4.6527
_cell_length_c 11.4358
_cell_angle_alpha 90.00
_cell_angle_beta 90.00
_cell_angle_gamma 120.00
_symmetry_space_group_name_H-M 'P -3 m 1'
_symmetry_Int_Tables_number 164
_symmetry_space_group_name_Hall '-P 3 2"'
loop_
_atom_site_label
_atom_site_fract_x
_atom_site_fract_y
_atom_site_fract_z
_atom_site_occupancy
Li1 0.3333 0.6667 0.1616 1
Dy1 0.0000 0.0000 0.0000 1
Dy2 0.0000 0.0000 0.5000 1
Dy3 0.3333 0.6667 0.6878 1
Rh1 0.0000 0.0000 0.2453 1
Rh2 0.3333 0.6667 0.4130 1
Rh3 0.3333 0.6667 0.9250 1
```

Output
The density of states at the Fermi level is 4.05 states/eV per cell. As for the final energy: -6.1767 eV per atom. As for the formation energy: -0.65 eV/atom.

=====

(7)
Entry from the Alexandria database: an optimized crystal structure of LiDyRuRh (PBE).

CIF file:
```
data_LiDyRuRh
_cell_length_a 6.450
_cell_length_b 6.450
_cell_length_c 6.450
_cell_angle_alpha 90.00
_cell_angle_beta 90.00
_cell_angle_gamma 90.00
_symmetry_space_group_name_H-M 'F -4 3 m'
_symmetry_Int_Tables_number 216
_symmetry_space_group_name_Hall 'F -4 2 3'
loop_
_atom_site_label
_atom_site_fract_x
_atom_site_fract_y
_atom_site_fract_z
_atom_site_occupancy
Li1 0.000 0.000 0.000 1
Dy1 0.250 0.250 0.750 1
Ru1 0.000 0.000 0.500 1
Rh1 0.250 0.250 0.250 1
```

Output
The density of states at the Fermi level is 18.06 states/eV per cell. As for the final energy: -5.8708 eV per atom. As for the formation energy: -0.08 eV/atom.

=====

(8)
Entry from the Alexandria database: an optimized crystal structure of LiDySiRh (PBE).

CIF file:
```
data_LiDySiRh
_cell_length_a 6.404
_cell_length_b 6.404
_cell_length_c 6.404
_cell_angle_alpha 90.00
_cell_angle_beta 90.00
_cell_angle_gamma 90.00
_symmetry_space_group_name_H-M 'F -4 3 m'
_symmetry_Int_Tables_number 216
_symmetry_space_group_name_Hall 'F -4 2 3'
loop_
_atom_site_label
_atom_site_fract_x
_atom_site_fract_y
_atom_site_fract_z
_atom_site_occupancy
Li1 0.000 0.000 0.000 1
Dy1 0.250 0.250 0.750 1
Si1 0.250 0.250 0.250 1
Rh1 0.000 0.000 0.500 1
```

Output
The density of states at the Fermi level is 18.23 states/eV per cell. The formation energy (no corrections) comes out at -621 meV/atom. As for the final energy: -5.4436 eV per atom.

=====

(9)
Entry from the Alexandria database: an optimized crystal structure of LiSmDyRh (PBE).

CIF file:
```
data_LiSmDyRh
_cell_length_a 7.051
_cell_length_b 7.051
_cell_length_c 7.051
_cell_angle_alpha 90.00
_cell_angle_beta 90.00
_cell_angle_gamma 90.00
_symmetry_space_group_name_H-M 'F -4 3 m'
_symmetry_Int_Tables_number 216
_symmetry_space_group_name_Hall 'F -4 2 3'
loop_
_atom_site_label
_atom_site_fract_x
_atom_site_fract_y
_atom_site_fract_z
_atom_site_occupancy
Li1 0.000 0.000 0.000 1
Sm1 0.250 0.250 0.250 1
Dy1 0.250 0.250 0.750 1
Rh1 0.000 0.000 0.500 1
```

Output
The density of states at the Fermi level is 12.09 states/eV per cell. As for the final energy: -5.0839 eV per atom. As for the formation energy: -0.44 eV/atom.

=====

(10)
Entry from the Alexandria database: an optimized crystal structure of LiSmDy2Rh4 (PBE).

CIF file:
```
data_LiSmDy2Rh4
_cell_length_a 4.7294
_cell_length_b 4.7294
_cell_length_c 23.3410
_cell_angle_alpha 90.00
_cell_angle_beta 90.00
_cell_angle_gamma 120.00
_symmetry_space_group_name_H-M 'R -3 m'
_symmetry_Int_Tables_number 166
_symmetry_space_group_name_Hall '-R 3 2"'
loop_
_atom_site_label
_atom_site_fract_x
_atom_site_fract_y
_atom_site_fract_z
_atom_site_occupancy
Li1 0.0000 0.0000 0.0000 1
Sm1 0.0000 0.0000 0.5000 1
Dy1 0.0000 0.0000 0.2590 1
Rh1 0.0000 0.0000 0.1222 1
Rh2 0.0000 0.0000 0.3763 1
```

Output
The density of states at the Fermi level is 9.15 states/eV per cell. As for the final energy: -6.3236 eV per atom. As for the formation energy: -0.67 eV/atom.